Model 1:
Material: BaMoIr2
Method: DFT, GGA-PBE
State: optimized geometry

Computed properties:
Symmetry: R-3m, No. 166
Size of the total moment: 0.0 μB/f.u.

abc: 2.980 2.980 29.849
angles: 90.00 90.00 120.00
Atoms (fractional coordinates):
Ba1 0.000 0.000 0.000
Ba2 0.333 0.667 0.667
Ba3 0.667 0.333 0.333
Mo1 0.000 0.000 0.500
Mo2 0.333 0.667 0.167
Mo3 0.667 0.333 0.833
Ir1 0.000 0.000 0.236
Ir2 0.000 0.000 0.764
Ir3 0.333 0.667 0.431
Ir4 0.333 0.667 0.902
Ir5 0.667 0.333 0.098
Ir6 0.667 0.333 0.569



Model 2:
Material: BaMoIr2
Method: DFT, GGA-PBE
State: optimized geometry

Computed properties:
Symmetry: P4/mmm, No. 123
Size of the total moment: 2.6 μB/f.u.

abc: 4.539 4.539 3.951
angles: 90.00 90.00 90.00
Atoms (fractional coordinates):
Ba1 0.000 0.000 0.000
Mo1 0.500 0.500 0.000
Ir1 0.000 0.500 0.500
Ir2 0.500 0.000 0.500



Most stable to least stable, the ends of the list are model 1 and model 2.



Model 1:
Material: B5C7
Method: DFT, GGA-PBE
State: optimized geometry

Computed properties:
Symmetry: P3m1, No. 156
Size of the total moment: 0.0 μB/f.u.

abc: 2.620 2.620 14.289
angles: 90.00 90.00 120.00
Atoms (fractional coordinates):
B1 0.000 0.000 0.000
B2 0.000 0.000 0.122
B3 0.000 0.000 0.629
B4 0.333 0.667 0.348
B5 0.667 0.333 0.930
C1 0.000 0.000 0.516
C2 0.333 0.667 0.125
C3 0.333 0.667 0.676
C4 0.333 0.667 0.782
C5 0.667 0.333 0.364
C6 0.667 0.333 0.481
C7 0.667 0.333 0.820



Model 2:
Material: B5C7
Method: DFT, GGA-PBE
State: optimized geometry

Computed properties:
Symmetry: Cm, No. 8
Size of the total moment: 0.0 μB/f.u.

abc: 6.164 6.164 5.282
angles: 103.49 103.49 24.42
Atoms (fractional coordinates):
B1 0.000 0.000 0.000
B2 0.016 0.016 0.412
B3 0.129 0.129 0.687
B4 0.373 0.373 0.616
B5 0.758 0.758 0.555
C1 0.117 0.117 0.232
C2 0.348 0.348 0.106
C3 0.431 0.431 0.381
C4 0.432 0.432 0.914
C5 0.688 0.688 0.251
C6 0.692 0.692 0.781
C7 0.769 0.769 0.061



Most stable to least stable, the ends of the list are model 2 and model 1.



Model 1:
Material: CoRe2Ni
Method: DFT, GGA-PBE
State: optimized geometry

Computed properties:
Symmetry: Cmmm, No. 65
Size of the total moment: 0.0 μB/f.u.

abc: 5.222 7.526 2.610
angles: 90.00 90.00 90.00
Atoms (fractional coordinates):
Co1 0.000 0.000 0.000
Co2 0.500 0.500 0.000
Re1 0.250 0.250 0.500
Re2 0.250 0.750 0.500
Re3 0.750 0.250 0.500
Re4 0.750 0.750 0.500
Ni1 0.000 0.500 0.000
Ni2 0.500 0.000 0.000



Model 2:
Material: CoRe2Ni
Method: DFT, GGA-PBE
State: optimized geometry

Computed properties:
Symmetry: Cm, No. 8
Size of the total moment: 0.0 μB/f.u.

abc: 8.691 2.616 4.597
angles: 90.00 98.56 90.00
Atoms (fractional coordinates):
Co1 0.000 0.000 0.000
Co2 0.500 0.500 0.000
Re1 0.240 0.500 0.235
Re2 0.498 0.000 0.518
Re3 0.740 0.000 0.235
Re4 0.998 0.500 0.518
Ni1 0.244 0.000 0.756
Ni2 0.744 0.500 0.756



Most stable to least stable, the ends of the list are model 2 and model 1.



Model 1:
Material: LiHI3
Method: DFT, GGA-PBE
State: optimized geometry

Computed properties:
Symmetry: Pm-3m, No. 221
Size of the total moment: 2.5 μB/f.u.

abc: 5.591 5.591 5.591
angles: 90.00 90.00 90.00
Atoms (fractional coordinates):
Li1 0.000 0.000 0.000
H1 0.500 0.500 0.500
I1 0.000 0.000 0.500
I2 0.000 0.500 0.000
I3 0.500 0.000 0.000



Model 2:
Material: LiHI3
Method: DFT, GGA-PBE
State: optimized geometry

Computed properties:
Symmetry: Pm-3m, No. 221
Size of the total moment: 0.5 μB/f.u.

abc: 5.277 5.277 5.277
angles: 90.00 90.00 90.00
Atoms (fractional coordinates):
Li1 0.000 0.000 0.000
H1 0.500 0.500 0.500
I1 0.000 0.500 0.500
I2 0.500 0.000 0.500
I3 0.500 0.500 0.000



Most stable to least stable, the ends of the list are model 2 and model 1.